Version w
BeGaNi3 | PBE | relaxed

a b c (Å): 3.8826 3.8826 3.8826
angles (deg): 90.00 90.00 90.00
Closest atoms and distances in Å follow each position.
Sites, in units of the cell vectors:
Be (0.0000, 0.0000, 0.0000)  6 Ni 1.94
Ni (0.0000, 0.5000, 0.0000)  2 Be 1.94
Ni (0.5000, 0.0000, 0.0000)  2 Be 1.94
Ni (0.0000, 0.0000, 0.5000)  2 Be 1.94
Ga (0.5000, 0.5000, 0.5000)  12 Ni 2.75

Calculated values
- Crystal system: cubic
- Size of the total moment: 0.00 μB per atom

Version x
BeGaNi3 | PBE | relaxed

a b c (Å): 4.2665 4.2665 4.2665
angles (deg): 90.00 90.00 90.00
Closest atoms and distances in Å follow each position.
Sites, in units of the cell vectors:
Ga (0.0000, 0.0000, 0.0000)  6 Ni 2.13
Ni (0.0000, 0.0000, 0.5000)  2 Ga 2.13
Ni (0.0000, 0.5000, 0.0000)  2 Ga 2.13
Ni (0.5000, 0.0000, 0.0000)  2 Ga 2.13
Be (0.5000, 0.5000, 0.5000)  12 Ni 3.02

Calculated values
- Crystal system: cubic
- Size of the total moment: 0.00 μB per atom

Version y
BeGaNi3 | PBE | relaxed

a b c (Å): 4.2651 5.5149 5.5149
angles (deg): 120.00 90.00 90.00
Closest atoms and distances in Å follow each position.
Sites, in units of the cell vectors:
Ni (0.7500, 0.1859, 0.3716)  2 Be 2.07
Ni (0.7500, 0.1859, 0.8141)  2 Be 2.07
Ni (0.2500, 0.3716, 0.1859)  2 Be 2.07
Ni (0.2500, 0.8141, 0.6284)  2 Be 2.07
Ni (0.2500, 0.8141, 0.1859)  2 Be 2.07
Ni (0.7500, 0.6284, 0.8141)  2 Be 2.07
Ga (0.2500, 0.3335, 0.6665)  12 Ni 2.56-2.77
Ga (0.7500, 0.6665, 0.3335)  12 Ni 2.56-2.77
Be (0.0000, 0.0000, 0.0000)  6 Ni 2.07, 2 Be 2.13
Be (0.5000, 0.0000, 0.0000)  6 Ni 2.07, 2 Be 2.13

Calculated values
- Crystal system: hexagonal
- Size of the total moment: 0.00 μB per atom

So which one is most stable? That would be version y, about 18.1 kJ/mol of atoms below the next structure.

Version w
Be2GaNi2 | PBE | relaxed

a b c (Å): 6.3147 6.3147 2.6632
angles (deg): 90.00 90.00 90.00
Closest atoms and distances in Å follow each position.
Sites, in units of the cell vectors:
Be (0.1402, 0.6402, 0.5000)  6 Ni 2.27-2.30, 1 Be 2.50
Be (0.8598, 0.3598, 0.5000)  6 Ni 2.27-2.30, 1 Be 2.50
Be (0.3598, 0.1402, 0.5000)  6 Ni 2.27-2.30, 1 Be 2.50
Be (0.6402, 0.8598, 0.5000)  6 Ni 2.27-2.30, 1 Be 2.50
Ni (0.6500, 0.1500, 0.0000)  6 Be 2.27-2.30, 2 Ga 2.40
Ni (0.8500, 0.6500, 0.0000)  6 Be 2.27-2.30, 2 Ga 2.40
Ni (0.1500, 0.3500, 0.0000)  6 Be 2.27-2.30, 2 Ga 2.40
Ni (0.3500, 0.8500, 0.0000)  6 Be 2.27-2.30, 2 Ga 2.40
Ga (0.0000, 0.0000, 0.0000)  4 Ni 2.40, 2 Ga 2.66
Ga (0.5000, 0.5000, 0.0000)  4 Ni 2.40, 2 Ga 2.66

Calculated values
- Crystal system: tetragonal
- Size of the total moment: 0.00 μB per atom

Version x
Be2GaNi2 | PBE | relaxed

a b c (Å): 2.9983 2.9983 6.3741
angles (deg): 76.40 76.40 90.00
Closest atoms and distances in Å follow each position.
Sites, in units of the cell vectors:
Be (0.2500, 0.7500, 0.5000)  4 Be 2.12, 4 Ni 2.26
Be (0.7500, 0.2500, 0.5000)  4 Be 2.12, 4 Ni 2.26
Ni (0.3910, 0.3910, 0.2181)  4 Be 2.26, 4 Ga 2.49
Ni (0.6090, 0.6090, 0.7819)  4 Be 2.26, 4 Ga 2.49
Ga (0.0000, 0.0000, 0.0000)  8 Ni 2.49

Calculated values
- Crystal system: tetragonal
- Size of the total moment: 0.00 μB per atom

So which one is most stable? That would be version w, about 7.4 kJ/mol of atoms below the next structure.

Version w
BeGaNiSb | PBE | relaxed

a b c (Å): 2.9006 2.9330 7.8401
angles (deg): 90.00 90.00 90.00
Closest atoms and distances in Å follow each position.
Sites, in units of the cell vectors:
Ga (0.0000, 0.5000, 0.1421)  4 Ni 2.51, 1 Be 2.52, 1 Sb 2.76
Be (0.0000, 0.5000, 0.8212)  4 Ni 2.33, 1 Ga 2.52, 1 Sb 2.56
Sb (0.0000, 0.5000, 0.4946)  1 Be 2.56, 1 Ga 2.76
Ni (0.5000, 0.0000, 0.9607)  4 Be 2.33, 4 Ga 2.51

Calculated values
- Crystal system: orthorhombic
- Size of the total moment: 0.00 μB per atom

Version x
BeGaNiSb | PBE | relaxed

a b c (Å): 3.8403 3.6214 8.8030
angles (deg): 90.00 90.00 90.00
Closest atoms and distances in Å follow each position.
Sites, in units of the cell vectors:
Be (0.5000, 0.5000, 0.1159)  2 Ni 2.25
Be (0.5000, 0.0000, 0.6159)  2 Ni 2.25
Ni (0.0000, 0.0000, 0.7499)  2 Be 2.25
Ni (0.0000, 0.5000, 0.2499)  2 Be 2.25
Ga (0.0000, 0.5000, 0.5450)  3 Ni 2.56-2.60, 4 Be 2.71
Ga (0.0000, 0.0000, 0.0451)  3 Ni 2.56-2.60, 4 Be 2.71
Sb (0.5000, 0.5000, 0.8286)  3 Be 2.53-2.60, 4 Ni 2.73
Sb (0.5000, 0.0000, 0.3286)  3 Be 2.53-2.60, 4 Ni 2.73

Calculated values
- Crystal system: orthorhombic
- Size of the total moment: 0.00 μB per atom

So which one is most stable? That would be version x, about 3.6 kJ/mol of atoms below the next structure.

Version w
BeGaNiSb | PBE | relaxed

a b c (Å): 2.8876 3.9879 11.2982
angles (deg): 90.00 90.00 90.00
Closest atoms and distances in Å follow each position.
Sites, in units of the cell vectors:
Ga (0.0000, 0.5000, 0.8048)  4 Ni 2.48, 2 Be 2.50
Ga (0.0000, 0.0000, 0.3048)  4 Ni 2.48, 2 Be 2.50
Be (0.0000, 0.0000, 0.9390)  2 Ni 2.31, 2 Ga 2.50, 2 Sb 2.54
Be (0.0000, 0.5000, 0.4390)  2 Ni 2.31, 2 Ga 2.50, 2 Sb 2.54
Ni (0.5000, 0.5000, 0.2788)  2 Be 2.31, 4 Ga 2.48
Ni (0.5000, 0.0000, 0.7788)  2 Be 2.31, 4 Ga 2.48
Sb (0.0000, 0.0000, 0.5784)  2 Be 2.54, 2 Ni 2.68
Sb (0.0000, 0.5000, 0.0784)  2 Be 2.54, 2 Ni 2.68

Calculated values
- Crystal system: orthorhombic
- Size of the total moment: 0.00 μB per atom

Version x
BeGaNiSb | PBE | relaxed

a b c (Å): 3.7677 4.6618 4.7383
angles (deg): 118.80 113.79 89.99
Closest atoms and distances in Å follow each position.
Sites, in units of the cell vectors:
Ni (0.8985, 0.9347, 0.5688)  2 Be 2.26-2.40, 1 Ga 2.50
Be (0.8962, 0.4477, 0.5644)  2 Ni 2.26-2.40, 1 Ga 2.40, 1 Sb 2.51
Ga (0.6077, 0.9256, 0.9880)  1 Be 2.40, 3 Ni 2.50-2.64
Sb (0.1992, 0.5088, 0.1748)  3 Be 2.51-2.65, 3 Ni 2.58-2.62

Calculated values
- Crystal system: triclinic
- Size of the total moment: 0.00 μB per atom

Version y
BeGaNiSb | PBE | relaxed

a b c (Å): 3.9597 3.9597 4.6457
angles (deg): 90.00 90.00 120.00
Closest atoms and distances in Å follow each position.
Sites, in units of the cell vectors:
Sb (0.3333, 0.6667, 0.5887)  3 Ni 2.58, 3 Be 2.59
Ni (0.6667, 0.3333, 0.8440)  2 Be 2.24-2.41, 3 Ga 2.49
Ga (0.0000, 0.0000, 0.0579)  3 Ni 2.49, 3 Be 2.60
Be (0.6667, 0.3333, 0.3262)  2 Ni 2.24-2.41

Calculated values
- Crystal system: trigonal
- Size of the total moment: 0.00 μB per atom

So which one is most stable? That would be version y, about 7.4 kJ/mol of atoms below the next structure.

Version w
BeGaNiSb | PBE | relaxed

a b c (Å): 3.6590 3.7008 4.8529
angles (deg): 90.00 112.26 90.00
Closest atoms and distances in Å follow each position.
Sites, in units of the cell vectors:
Sb (0.2874, 0.5000, 0.1638)  3 Ni 2.60-2.63, 4 Be 2.68
Ga (0.0021, 0.0000, 0.5934)  3 Be 2.57-2.66, 4 Ni 2.69
Ni (0.5772, 0.5000, 0.7428)  2 Be 2.23
Be (0.7149, 0.0000, 0.0208)  2 Ni 2.23

Calculated values
- Crystal system: monoclinic
- Size of the total moment: 0.00 μB per atom

Version x
BeGaNiSb | PBE | relaxed

a b c (Å): 3.1361 4.4175 5.2648
angles (deg): 79.45 89.93 69.31
Closest atoms and distances in Å follow each position.
Sites, in units of the cell vectors:
Be (0.2815, 0.7422, 0.0409)  2 Ni 2.23
Ni (0.9171, 0.4692, 0.2993)  2 Be 2.23, 3 Ga 2.32-2.41
Sb (0.9774, 0.3508, 0.8034)  3 Be 2.58-2.73, 2 Ni 2.60-2.75
Ga (0.6408, 0.0193, 0.3356)  3 Ni 2.32-2.41

Calculated values
- Crystal system: triclinic
- Size of the total moment: 0.00 μB per atom

So which one is most stable? That would be version w, about 3.2 kJ/mol of atoms below the next structure.

Version w
Be2GaO | PBE | relaxed

a b c (Å): 4.8600 4.8600 5.1765
angles (deg): 62.00 62.00 90.00
Closest atoms and distances in Å follow each position.
Sites, in units of the cell vectors:
Be (0.4990, 0.1250, 0.2500)  2 O 1.67
Be (0.2510, 0.6250, 0.2500)  2 O 1.67
Be (0.8750, 0.7490, 0.7500)  2 O 1.67
Be (0.3750, 0.5010, 0.7500)  2 O 1.67
Ga (0.0000, 0.0000, 0.0000)  4 Be 2.40
Ga (0.7500, 0.2500, 0.5000)  4 Be 2.40
O (0.2500, 0.7500, 0.5000)  4 Be 1.67
O (0.5000, 0.5000, 0.0000)  4 Be 1.67

Calculated values
- Crystal system: tetragonal
- Size of the total moment: 0.00 μB per atom

Version x
Be2GaO | PBE | relaxed

a b c (Å): 4.0080 4.0080 4.0080
angles (deg): 60.00 60.00 60.00
Closest atoms and distances in Å follow each position.
Sites, in units of the cell vectors:
Ga (0.5000, 0.5000, 0.5000)  8 Be 2.45
Be (0.7500, 0.7500, 0.7500)  4 O 2.45, 4 Ga 2.45
Be (0.2500, 0.2500, 0.2500)  4 Ga 2.45, 4 O 2.45
O (0.0000, 0.0000, 0.0000)  8 Be 2.45

Calculated values
- Crystal system: cubic
- Size of the total moment: 0.29 μB per atom

So which one is most stable? That would be version w, about 139.2 kJ/mol of atoms below the next structure.

Version w
BeGa2O | PBE | relaxed

a b c (Å): 5.2424 5.2424 5.8545
angles (deg): 63.40 63.40 90.00
Closest atoms and distances in Å follow each position.
Sites, in units of the cell vectors:
Ga (0.6605, 0.1250, 0.2500)  2 O 2.07, 2 Be 2.29
Ga (0.0895, 0.6250, 0.2500)  2 O 2.07, 2 Be 2.29
Ga (0.3750, 0.3395, 0.7500)  2 O 2.07, 2 Be 2.29
Ga (0.8750, 0.9105, 0.7500)  2 O 2.07, 2 Be 2.29
Be (0.5000, 0.5000, 0.0000)  4 Ga 2.29
Be (0.2500, 0.7500, 0.5000)  4 Ga 2.29
O (0.0000, 0.0000, 0.0000)  4 Ga 2.07
O (0.7500, 0.2500, 0.5000)  4 Ga 2.07

Calculated values
- Crystal system: tetragonal
- Size of the total moment: 0.00 μB per atom

Version x
BeGa2O | PBE | relaxed

a b c (Å): 4.2508 4.2508 4.2508
angles (deg): 60.00 60.00 60.00
Closest atoms and distances in Å follow each position.
Sites, in units of the cell vectors:
Ga (0.7500, 0.7500, 0.7500)  4 O 2.60, 4 Be 2.60
Ga (0.2500, 0.2500, 0.2500)  4 O 2.60, 4 Be 2.60
Be (0.0000, 0.0000, 0.0000)  8 Ga 2.60
O (0.5000, 0.5000, 0.5000)  8 Ga 2.60

Calculated values
- Crystal system: cubic
- Size of the total moment: 0.00 μB per atom

So which one is most stable? That would be version w, about 55.1 kJ/mol of atoms below the next structure.

Version w
BeGaPO2 | PBE | relaxed

a b c (Å): 3.4291 3.4291 5.0615
angles (deg): 90.00 90.00 90.00
Closest atoms and distances in Å follow each position.
Sites, in units of the cell vectors:
Be (0.0000, 0.0000, 0.0000)  4 O 1.71
O (0.5000, 0.0000, 0.0000)  2 Be 1.71
O (0.0000, 0.5000, 0.0000)  2 Be 1.71
P (0.0000, 0.0000, 0.5000)  4 Ga 2.42, 2 Be 2.53
Ga (0.5000, 0.5000, 0.5000)  4 P 2.42

Calculated values
- Crystal system: tetragonal
- Size of the total moment: 0.24 μB per atom

Version x
BeGaPO2 | PBE | relaxed

a b c (Å): 3.6209 3.6209 5.5996
angles (deg): 90.00 90.00 90.00
Closest atoms and distances in Å follow each position.
Sites, in units of the cell vectors:
O (0.5000, 0.0000, 0.0000)  2 Ga 1.81
O (0.0000, 0.5000, 0.0000)  2 Ga 1.81
Ga (0.0000, 0.0000, 0.0000)  4 O 1.81
P (0.0000, 0.0000, 0.5000)  4 Be 2.56, 2 Ga 2.80
Be (0.5000, 0.5000, 0.5000)  4 P 2.56

Calculated values
- Crystal system: tetragonal
- Size of the total moment: 0.15 μB per atom

So which one is most stable? That would be version w, about 39.5 kJ/mol of atoms below the next structure.